1.
HoHI: relaxed, PBE.

E: -46.507 eV per cell
size of the total moment: 0.00 μB per formula unit
DOS(E_F): 0.523 states/eV/atom

Geometry as CIF:
```
data_HoHI
_chemical_formula_sum 'Ho4 H4 I4'
_space_group_name_H-M_alt 'C 1 2/m 1'
_space_group_IT_number 12
_cell_length_a 11.2203
_cell_length_b 3.8391
_cell_length_c 7.0767
_cell_angle_alpha 90.00
_cell_angle_beta 112.10
_cell_angle_gamma 90.00
loop_
_space_group_symop_operation_xyz
'x,y,z'
'-x,-y,-z'
'-x,y,-z'
'x,-y,z'
'x+1/2,y+1/2,z'
'-x+1/2,-y+1/2,-z'
'-x+1/2,y+1/2,-z'
'x+1/2,-y+1/2,z'
loop_
_atom_site_label
_atom_site_type_symbol
_atom_site_fract_x
_atom_site_fract_y
_atom_site_fract_z
Ho1 Ho 0.2253 0.0000 0.2874
H1 H 0.1781 0.5000 0.3849
I1 I 0.0836 0.0000 0.8048
```

***

2.
La2NdY: relaxed, PBE.

size of the total moment: 0.00 μB per formula unit
polymorph energy (0 for the lowest one): 13.0 kJ/mol of atoms
ΔH_f (0 K): 0.584 eV per formula unit
DOS(E_F): 1.799 states/eV/atom

Geometry as CIF:
```
data_La2NdY
_chemical_formula_sum 'La6 Nd3 Y3'
_space_group_name_H-M_alt 'R -3 m'
_space_group_IT_number 166
_space_group_name_Hall '-R 3 2"'
_cell_length_a 3.5778
_cell_length_b 3.5778
_cell_length_c 38.4717
_cell_angle_alpha 90.00
_cell_angle_beta 90.00
_cell_angle_gamma 120.00
loop_
_atom_site_label
_atom_site_type_symbol
_atom_site_fract_x
_atom_site_fract_y
_atom_site_fract_z
La1 La 0.0000 0.0000 0.0886
Nd1 Nd 0.0000 0.0000 0.0000
Y1 Y 0.0000 0.0000 0.5000
```

***

3.
Cs2SnPd2: relaxed, PBE.

size of the total moment: 0.00 μB per formula unit
ΔH_f (0 K): -1.589 eV per formula unit
DOS(E_F): 0.693 states/eV/atom

Geometry as CIF:
```
data_Cs2SnPd2
_chemical_formula_sum 'Cs6 Sn3 Pd6'
_space_group_name_H-M_alt 'R -3 m'
_space_group_IT_number 166
_space_group_name_Hall '-R 3 2"'
_cell_length_a 4.6976
_cell_length_b 4.6976
_cell_length_c 34.0312
_cell_angle_alpha 90.00
_cell_angle_beta 90.00
_cell_angle_gamma 120.00
loop_
_atom_site_label
_atom_site_type_symbol
_atom_site_fract_x
_atom_site_fract_y
_atom_site_fract_z
Cs1 Cs 0.0000 0.0000 0.0773
Sn1 Sn 0.0000 0.0000 0.5000
Pd1 Pd 0.0000 0.0000 0.1788
```

***

4.
Pm5ScSb6: relaxed, PBE.

uncorrected formation energy: -1.127 eV per atom
size of the total moment: 0.00 μB per formula unit
DOS(E_F): 0.184 states/eV/atom

Geometry as CIF:
```
data_Pm5ScSb6
_chemical_formula_sum 'Pm10 Sc2 Sb12'
_space_group_name_H-M_alt 'C 1 2/m 1'
_space_group_IT_number 12
_cell_length_a 7.6933
_cell_length_b 13.3371
_cell_length_c 7.6985
_cell_angle_alpha 90.00
_cell_angle_beta 109.56
_cell_angle_gamma 90.00
loop_
_space_group_symop_operation_xyz
'x,y,z'
'-x,-y,-z'
'-x,y,-z'
'x,-y,z'
'x+1/2,y+1/2,z'
'-x+1/2,-y+1/2,-z'
'-x+1/2,y+1/2,-z'
'x+1/2,-y+1/2,z'
loop_
_atom_site_label
_atom_site_type_symbol
_atom_site_fract_x
_atom_site_fract_y
_atom_site_fract_z
Pm1 Pm 0.0000 0.0000 0.0000
Pm2 Pm 0.0000 0.1651 0.5000
Pm3 Pm 0.0000 0.3289 0.0000
Sc1 Sc 0.0000 0.5000 0.5000
Sb1 Sb 0.2393 0.5000 0.2538
Sb2 Sb 0.2409 0.3388 0.7413
```